# YPaFe2O8

An optimized crystal structure of YPaFe2O8 (PBE+U, Alexandria via LeMat-Bulk).

```
YPaFe2O8
1.0
5.9972 0.1656 0.0000
-2.5114 5.4485 0.0000
-1.7429 -2.8071 5.0076
O Fe Y Pa
8 2 1 1
direct
0.3136 0.1368 0.8233
0.3136 0.4903 0.1767
0.9463 0.2522 0.3059
0.3596 0.0537 0.3059
0.9463 0.6404 0.6941
0.7478 0.0537 0.6941
0.8632 0.6864 0.1767
0.5097 0.6864 0.8233
0.5000 0.5000 0.0000
0.7500 0.2500 0.5000
0.2500 0.7500 0.5000
0.0000 0.0000 0.0000
```

Values from the calculation:
The calculation puts the total magnetization at 7.99 μB per cell. For the energy, the calculation gives -7.8294 eV per atom. As for the crystal system: tetragonal. The density comes out at 5.61 g cm⁻³.